A relaxed LiYThZn crystal. Source: Alexandria, functional PBE.

## Properties
The density of states at the Fermi level is 4.78 states/eV/f.u. Its formation energy is -3 kJ/mol of atoms. The magnetization is 0.0008 μB per atom.

Lattice parameters (Å, degrees): 5.166 5.166 5.166 60.00 60.00 60.00
Element x y z (fractional)
Li (0.000, 0.000, 0.000)
Y (0.750, 0.750, 0.750)
Th (0.250, 0.250, 0.250)
Zn (0.500, 0.500, 0.500)

A relaxed CuGe2AuSe6 crystal. Source: Alexandria, functional PBE.

## Properties
As for the uncorrected formation energy: -0.75 eV per formula unit. The density of states at the Fermi level is 5.38 states/eV/f.u. The magnetization is 0.0000 μB per atom.

Lattice parameters (Å, degrees): 8.894 8.894 6.634 103.22 103.22 85.63
Element x y z (fractional)
Cu (0.248, 0.752, 0.750)
Cu (0.752, 0.248, 0.250)
Ge (0.222, 0.389, 0.234)
Ge (0.389, 0.222, 0.734)
Ge (0.611, 0.778, 0.266)
Ge (0.778, 0.611, 0.766)
Au (0.113, 0.887, 0.250)
Au (0.887, 0.113, 0.750)
Se (0.026, 0.188, 0.140)
Se (0.110, 0.627, 0.409)
Se (0.188, 0.026, 0.640)
Se (0.293, 0.457, 0.937)
Se (0.373, 0.890, 0.091)
Se (0.457, 0.293, 0.437)
Se (0.543, 0.707, 0.563)
Se (0.627, 0.110, 0.909)
Se (0.707, 0.543, 0.063)
Se (0.812, 0.974, 0.360)
Se (0.890, 0.373, 0.591)
Se (0.974, 0.812, 0.860)

A relaxed LiMnIn3 crystal. Source: Alexandria, functional PBE.

## Properties
The density of states at the Fermi level is 2.60 states/eV/f.u. Its formation energy is 18 kJ/mol of atoms. The magnetization is 0.2706 μB per atom. The energy relative to the lowest polymorph listed for this composition comes out at 0.0000 eV/atom.

Lattice parameters (Å, degrees): 5.065 5.065 5.065 90.00 90.00 90.00
Element x y z (fractional)
Li (0.000, 0.000, 0.000)
Mn (0.500, 0.500, 0.500)
In (0.000, 0.500, 0.500)
In (0.500, 0.000, 0.500)
In (0.500, 0.500, 0.000)